Entry 1:
Here is crystalline BaMoSe2 at its relaxed geometry from the Alexandria database. Energies are from GGA-PBE.

Results
* uncorrected formation energy: -0.61 eV per atom
* density of states at the Fermi level: 0.8 states/eV/f.u.
* space-group type: P2/m
* V: 30.253 Å³/atom

Unit cell a=3.8860 b=4.3237 c=7.2023 alpha=89.78 beta=90.00 gamma=90.00
Closest atoms and distances in Å follow each position.
Fractional coordinates of all 4 atoms:
1 Ba 0.5000 0.2500 0.2500  8 Se 3.43
2 Mo 0.5000 0.7500 0.7500  4 Se 2.64
3 Se 0.0000 0.7514 0.9977  2 Mo 2.64
4 Se 0.0000 0.7486 0.5023  2 Mo 2.64

---

Entry 2:
Here is crystalline K3Ac2NpSe6 at its relaxed geometry from the Alexandria database. Energies are from GGA-PBE.

Results
* uncorrected formation energy: -1.61 eV per atom
* density of states at the Fermi level: 5.5 states/eV/f.u.
* space-group type: C2/m
* V: 33.704 Å³/atom

Unit cell a=7.7926 b=7.7926 c=8.1203 alpha=99.22 beta=99.22 gamma=120.01
Closest atoms and distances in Å follow each position.
Fractional coordinates of all 12 atoms:
1 K 0.1672 0.8328 0.5000  6 Se 3.37-3.48
2 K 0.8328 0.1672 0.5000  6 Se 3.37-3.48
3 K 0.5000 0.5000 0.5000  6 Se 3.36-3.49
4 Ac 0.3334 0.6666 0.0000  6 Se 3.12
5 Ac 0.6666 0.3334 0.0000  6 Se 3.12
6 Np 0.0000 0.0000 0.0000  6 Se 2.98-2.99
7 Se 0.9285 0.6088 0.7859  1 Np 2.99, 2 Ac 3.12
8 Se 0.7518 0.7518 0.2130  1 Np 2.98, 2 Ac 3.12
9 Se 0.0715 0.3912 0.2141  1 Np 2.99, 2 Ac 3.12
10 Se 0.6088 0.9285 0.7859  1 Np 2.99, 2 Ac 3.12
11 Se 0.2482 0.2482 0.7870  1 Np 2.98, 2 Ac 3.12
12 Se 0.3912 0.0715 0.2141  1 Np 2.99, 2 Ac 3.12

---

Entry 3:
Here is crystalline LaDy3Ho2Te6 at its relaxed geometry from the Alexandria database. Energies are from GGA-PBE.

Results
* uncorrected formation energy: -1.32 eV per atom
* density of states at the Fermi level: 7.1 states/eV/f.u.
* space-group type: C2/m
* V: 29.873 Å³/atom

Unit cell a=4.3648 b=8.8244 c=9.7994 alpha=102.71 beta=102.87 gamma=90.00
Closest atoms and distances in Å follow each position.
Fractional coordinates of all 12 atoms:
1 La 0.5000 0.0000 0.0000  6 Te 3.18-3.23
2 Dy 0.5000 0.5000 0.0000  6 Te 3.03-3.13
3 Dy 0.8391 0.1682 0.6783  6 Te 3.04-3.13
4 Dy 0.1609 0.8318 0.3217  6 Te 3.04-3.13
5 Ho 0.8352 0.6701 0.6704  6 Te 3.03-3.11
6 Ho 0.1648 0.3299 0.3296  6 Te 3.03-3.11
7 Te 0.3266 0.9127 0.6531  3 Dy 3.08-3.11, 2 Ho 3.09, 1 La 3.23
8 Te 0.6682 0.5823 0.3364  3 Ho 3.11, 3 Dy 3.13
9 Te 0.6734 0.0873 0.3469  3 Dy 3.08-3.11, 2 Ho 3.09, 1 La 3.23
10 Te 0.0024 0.2627 0.0048  1 Ho 3.03, 3 Dy 3.03-3.04, 2 La 3.18
11 Te 0.9976 0.7373 0.9952  1 Ho 3.03, 3 Dy 3.03-3.04, 2 La 3.18
12 Te 0.3318 0.4177 0.6636  3 Ho 3.11, 3 Dy 3.13